A relaxed structure of LiPuAgF6, computed with PBE.

```
18
Lattice="5.642 0.000 0.000 -2.821 4.886 0.000 0.000 0.000 10.312" Properties=species:S:1:pos:R:3 pbc="T T T"
Li 0.000 3.257 2.578
Li 2.821 1.629 7.734
Pu 2.821 1.629 2.578
Pu 0.000 3.257 7.734
Ag 0.000 0.000 0.000
Ag 0.000 0.000 5.156
F 1.765 3.148 1.450
F -0.978 1.783 1.450
F 2.033 0.045 6.606
F 3.798 3.103 8.863
F 0.978 1.783 3.706
F -1.765 3.148 3.706
F 3.609 0.045 8.863
F 0.788 4.841 3.706
F 4.586 1.738 6.606
F -0.788 4.841 1.450
F 1.843 3.103 6.606
F 1.055 1.738 8.863
```

Values from the calculation:
* VASP energy: -6.159 eV per atom
* raw formation energy: -2.790 eV/atom